CsNaCrO3 | PBE with a Hubbard U | relaxed

Cell: 5.661 6.032 6.385 Å, 118.19 90.00 90.00°
Each line ends with the local moment (μB).
Sites, in units of the cell vectors:
Cs  0.250  0.733  0.466  0.00
Na  0.750  0.573  0.145  0.00
O  0.750  0.799  0.597  -0.09
Cr  0.250  0.045  0.091  2.19
O  0.000  0.209  0.000  -0.06
O  0.500  0.791  0.000  -0.06
Cs  0.750  0.267  0.534  0.00
O  0.250  0.201  0.403  -0.09
O  0.000  0.791  0.000  -0.06
O  0.500  0.209  0.000  -0.06
Cr  0.750  0.955  0.909  2.19
Na  0.250  0.427  0.855  0.00

## Properties
E (eV/atom): -5.70
SG: Cmcm, No. 63